Record 1
11
Lattice="5.310 0.000 -1.714 -1.350 7.699 -4.181 -0.088 -0.161 8.807" Properties=species:S:1:pos:R:3 comment="La8MgZn2 | Alexandria | PBE-GGA | optimized geometry" density_g_cm3=5.93 final_energy_ev_per_atom=-4.07 delta_e_f_mev_per_atom=-110 space_group=C2/m pbc="T T T"
La 4.482 1.954 4.800
Mg 2.655 0.000 -0.857
La -0.610 5.584 -1.889
La 1.563 0.205 4.840
La 3.413 5.942 1.490
Zn 3.531 2.793 1.855
La 1.322 4.028 4.096
La 0.459 1.596 1.421
La 2.549 3.510 -1.184
Zn 0.341 4.745 1.056
La 2.309 7.333 -1.929


Record 2
4
Lattice="-5.566 -6.001 6.796 -3.041 -7.698 6.684 -3.213 -5.351 8.615" Properties=species:S:1:pos:R:3 comment="KLi2Rh | Alexandria | PBE-GGA | optimized geometry" density_g_cm3=3.07 final_energy_ev_per_atom=-2.70 delta_e_f_mev_per_atom=365 space_group=R3m pbc="T T T"
Rh -6.041 -9.737 11.293
Li -2.801 -4.515 5.237
Li -11.680 -18.825 21.833
K -9.027 -14.550 16.875


Record 3
4
Lattice="-0.358 2.890 0.170 -1.229 -1.342 2.280 7.392 0.658 4.370" Properties=species:S:1:pos:R:3 comment="Zr2MnRe | Alexandria | PBE-GGA | optimized geometry" density_g_cm3=10.28 final_energy_ev_per_atom=-9.55 delta_e_f_mev_per_atom=133 space_group=Cmmm pbc="T T T"
Re 4.751 1.268 4.503
Mn 1.055 0.939 2.318
Zr 3.596 0.320 2.126
Zr 0.100 0.009 0.059


Record 4
8
Lattice="4.345 0.000 0.000 0.000 4.006 -0.790 0.000 -0.023 10.311" Properties=species:S:1:pos:R:3 comment="Hf2ScAl | Alexandria | PBE-GGA | optimized geometry" density_g_cm3=7.94 final_energy_ev_per_atom=-7.61 delta_e_f_mev_per_atom=-118 space_group=P2_1/m pbc="T T T"
Sc 1.086 1.231 6.108
Al 1.086 0.633 3.219
Hf 3.259 1.759 8.797
Al 3.259 3.350 6.302
Hf 1.086 3.762 8.399
Sc 3.259 2.752 3.413
Hf 1.086 2.224 0.724
Hf 3.259 0.221 1.122


Record 5
19
Lattice="7.665 0.063 0.974 0.866 7.617 0.974 0.069 0.063 7.727" Properties=species:S:1:pos:R:3 comment="NaPrCd17 | Alexandria | PBE-GGA | optimized geometry" density_g_cm3=7.66 final_energy_ev_per_atom=-1.24 delta_e_f_mev_per_atom=-96 space_group=R3m pbc="T T T"
Cd 0.317 2.329 5.684
Cd 0.872 0.785 0.981
Cd 0.046 0.042 3.838
Cd 0.441 3.781 0.496
Cd 5.122 1.234 5.762
Cd 1.764 4.964 5.762
Cd 3.807 0.042 0.496
Cd 6.690 2.830 3.955
Cd 5.515 4.964 2.427
Na 2.942 2.648 3.310
Cd 5.369 0.071 2.999
Cd 3.516 6.356 3.955
Cd 2.905 5.332 0.981
Cd 2.350 0.071 5.684
Cd 5.608 2.329 0.981
Cd 7.725 6.954 8.691
Pr 5.741 5.167 6.458
Cd 3.144 2.830 7.107
Cd 0.634 5.332 2.999


Record 6
8
Lattice="-5.561 3.740 2.367 -4.365 -4.005 -3.926 -5.230 -1.781 1.199" Properties=species:S:1:pos:R:3 comment="FeHgRu2 | Alexandria | PBE-GGA | optimized geometry" density_g_cm3=11.65 final_energy_ev_per_atom=-6.05 delta_e_f_mev_per_atom=781 space_group=I-42d pbc="T T T"
Fe -4.963 -0.133 -0.780
Ru -12.361 -1.342 -0.244
Hg 0.000 0.000 0.000
Fe -7.279 -2.959 -1.753
Ru -5.044 -2.270 -1.725
Ru -7.891 -1.661 0.093
Hg -7.876 0.913 1.393
Ru -5.015 1.181 1.155